(1)
Material: NaGe2W
Method: DFT, PBE
State: optimized geometry

## Properties
Energy of formation ... 0.557 eV/atom
Density ... 8.5 g/cm³
Total magnetization ... 1.1 μB/f.u.

Lattice parameters (Å, degrees): 4.5973 4.5973 4.5973 60.00 60.00 60.00
With the nearest neighbours (Å) after each atom.
Fractional coordinates of all 4 atoms:
1 Na 0.0000 0.0000 0.0000  8 Ge 2.82
2 Ge 0.2500 0.2500 0.2500  4 W 2.82, 4 Na 2.82
3 Ge 0.7500 0.7500 0.7500  4 Na 2.82, 4 W 2.82
4 W 0.5000 0.5000 0.5000  8 Ge 2.82

(2)
Material: NaGeW3
Method: DFT, PBE
State: optimized geometry

## Properties
Energy of formation ... 1.896 eV/atom
Density ... 10.4 g/cm³
Total magnetization ... 0.0 μB/f.u.

Lattice parameters (Å, degrees): 4.6967 4.6967 4.6967 90.00 90.00 90.00
With the nearest neighbours (Å) after each atom.
Fractional coordinates of all 5 atoms:
1 Na 0.5000 0.5000 0.5000  12 W 3.32
2 Ge 0.0000 0.0000 0.0000  6 W 2.35
3 W 0.0000 0.5000 0.0000  2 Ge 2.35
4 W 0.0000 0.0000 0.5000  2 Ge 2.35
5 W 0.5000 0.0000 0.0000  2 Ge 2.35

(3)
Material: NaGeW3
Method: DFT, PBE
State: optimized geometry

## Properties
Energy of formation ... 3.075 eV/atom
Density ... 11.5 g/cm³
Total magnetization ... 0.5 μB/f.u.

Lattice parameters (Å, degrees): 4.5386 4.5386 4.5386 90.00 90.00 90.00
With the nearest neighbours (Å) after each atom.
Fractional coordinates of all 5 atoms:
1 Na 0.0000 0.0000 0.0000  6 W 2.27
2 Ge 0.5000 0.5000 0.5000  12 W 3.21
3 W 0.0000 0.5000 0.0000  2 Na 2.27
4 W 0.0000 0.0000 0.5000  2 Na 2.27
5 W 0.5000 0.0000 0.0000  2 Na 2.27

(4)
Material: NaYGe2W
Method: DFT, PBE
State: optimized geometry

## Properties
Energy of formation ... 1.336 eV/atom
Density ... 6.3 g/cm³
Total magnetization ... 2.2 μB/f.u.

Lattice parameters (Å, degrees): 4.8277 4.9522 4.8277 90.00 90.00 90.00
With the nearest neighbours (Å) after each atom.
Fractional coordinates of all 5 atoms:
1 Y 0.5000 0.5000 0.5000  4 W 3.41, 8 Ge 3.46
2 Na 0.0000 0.0000 0.0000  4 Ge 2.41, 2 W 2.48
3 Ge 0.0000 0.0000 0.5000  2 Na 2.41
4 Ge 0.5000 0.0000 0.0000  2 Na 2.41
5 W 0.0000 0.5000 0.0000  2 Na 2.48

(5)
Material: NaYGe
Method: DFT, PBE
State: optimized geometry

## Properties
Energy of formation ... -0.412 eV/atom
Density ... 4.1 g/cm³
Total magnetization ... 0.0 μB/f.u.

Lattice parameters (Å, degrees): 4.1956 4.1956 8.9475 76.44 76.44 90.00
With the nearest neighbours (Å) after each atom.
Fractional coordinates of all 6 atoms:
1 Y 0.8197 0.8197 0.3605  5 Ge 2.95-3.03
2 Y 0.1803 0.1803 0.6395  5 Ge 2.95-3.03
3 Na 0.0000 0.5000 0.0000  4 Na 2.97, 4 Ge 3.22
4 Na 0.5000 0.0000 0.0000  4 Na 2.97, 4 Ge 3.22
5 Ge 0.6448 0.6448 0.7104  5 Y 2.95-3.03, 4 Na 3.22
6 Ge 0.3552 0.3552 0.2896  5 Y 2.95-3.03, 4 Na 3.22

(6)
Material: NaYGe
Method: DFT, PBE
State: optimized geometry

## Properties
Energy of formation ... -0.333 eV/atom
Density ... 3.7 g/cm³
Total magnetization ... 0.0 μB/f.u.

Lattice parameters (Å, degrees): 4.8714 4.8714 4.8714 60.00 60.00 60.00
With the nearest neighbours (Å) after each atom.
Fractional coordinates of all 3 atoms:
1 Y 0.7500 0.7500 0.7500  4 Ge 2.98
2 Na 0.2500 0.2500 0.2500  4 Ge 2.98
3 Ge 0.5000 0.5000 0.5000  4 Y 2.98, 4 Na 2.98

(7)
Material: NaYGe
Method: DFT, PBE
State: optimized geometry

## Properties
Energy of formation ... -0.062 eV/atom
Density ... 3.8 g/cm³
Total magnetization ... 0.0 μB/f.u.

Lattice parameters (Å, degrees): 5.0315 5.0315 3.6977 90.00 90.00 120.00
With the nearest neighbours (Å) after each atom.
Fractional coordinates of all 3 atoms:
1 Y 0.0000 0.0000 0.0000  3 Ge 2.90
2 Na 0.6667 0.3333 0.5000  6 Ge 3.44, 6 Y 3.44, 2 Na 3.70
3 Ge 0.3333 0.6667 0.0000  3 Y 2.90

(8)
Material: NaYGe
Method: DFT, PBE
State: optimized geometry

## Properties
Energy of formation ... -0.224 eV/atom
Density ... 3.9 g/cm³
Total magnetization ... 0.0 μB/f.u.

Lattice parameters (Å, degrees): 20.1928 7.2093 7.2093 143.90 156.83 23.17
With the nearest neighbours (Å) after each atom.
Fractional coordinates of all 6 atoms:
1 Y 0.8700 0.0439 0.9561  5 Ge 3.05-3.20
2 Y 0.9805 0.1553 0.8447  3 Ge 2.90-2.91
3 Na 0.4222 0.0825 0.9175  3 Ge 2.98-3.21, 2 Y 3.28
4 Na 0.4812 0.2697 0.7303  5 Ge 2.98-3.19
5 Ge 0.2539 0.9518 0.0482  1 Ge 2.70, 1 Y 2.91, 2 Na 2.98
6 Ge 0.0523 0.4210 0.5790  1 Ge 2.70, 2 Y 2.90, 1 Na 2.98